The following is a PBE with a Hubbard U calculation of a relaxed K3MnHg2F9 crystal, from the Alexandria database.

Results
Space group: No. 164
Electronic total energy, eV per atom: -4.11
DOS at the Fermi energy, states/eV per atom: 0.001

Geometry as extended XYZ:
```
15
Lattice="6.351 0.000 0.000 -3.175 5.500 0.000 0.000 0.000 7.716" Properties=species:S:1:pos:R:3 pbc="T T T"
Hg 3.175 1.833 6.303
F 4.868 0.856 5.088
F 3.175 3.788 5.088
F -1.588 2.750 0.000
F 0.000 1.712 2.628
K 0.000 3.667 5.313
F 1.588 2.750 0.000
K 3.175 1.833 2.403
Mn 0.000 0.000 3.858
F 1.693 4.644 2.628
F 1.482 0.856 5.088
Hg 0.000 3.667 1.413
F -1.693 4.644 2.628
F 3.175 0.000 0.000
K 0.000 0.000 0.000
```